Ti4Sn after structural relaxation, computed with GGA-PBE.

Summary:
Volume, A^3/atom: 20.3
ΔH_f (0 K), meV/atom: 154
Relative energy among the computed polymorphs, meV/atom: 350

Cell and atoms, written as CIF:
```
data_Ti4Sn
_cell_length_a 7.1850
_cell_length_b 4.8213
_cell_length_c 5.8466
_cell_angle_alpha 90.00
_cell_angle_beta 90.06
_cell_angle_gamma 90.00
_space_group_name_H-M_alt 'P 1 21/c 1'
_space_group_IT_number 14
loop_
_space_group_symop_operation_xyz
'x,y,z'
'-x,-y,-z'
'-x,y+1/2,-z+1/2'
'x,-y+1/2,z+1/2'
loop_
_atom_site_label
_atom_site_type_symbol
_atom_site_fract_x
_atom_site_fract_y
_atom_site_fract_z
_atom_site_occupancy
Ti1 Ti 0.1332 0.2483 0.0005 1
Ti2 Ti 0.1845 0.7499 0.2502 1
Sn1 Sn 0.5000 0.0000 0.5000 1
```

=====

KBaBr2O6 after structural relaxation, computed with GGA-PBE.

Summary:
ΔE_f (raw), eV per atom: -0.7456
Volume, A^3/atom: 20.1

Cell and atoms, written as CIF:
```
data_KBaBr2O6
_cell_length_a 8.8864
_cell_length_b 11.7127
_cell_length_c 7.9407
_cell_angle_alpha 90.00
_cell_angle_beta 103.85
_cell_angle_gamma 90.00
_space_group_name_H-M_alt 'C 1 2/c 1'
_space_group_IT_number 15
loop_
_space_group_symop_operation_xyz
'x,y,z'
'-x,-y,-z'
'-x,y,-z+1/2'
'x,-y,z+1/2'
'x+1/2,y+1/2,z'
'-x+1/2,-y+1/2,-z'
'-x+1/2,y+1/2,-z+1/2'
'x+1/2,-y+1/2,z+1/2'
loop_
_atom_site_label
_atom_site_type_symbol
_atom_site_fract_x
_atom_site_fract_y
_atom_site_fract_z
_atom_site_occupancy
K1 K 0.0000 0.2105 0.2500 1
Ba1 Ba 0.0000 0.4174 0.7500 1
Br1 Br 0.1740 0.0995 0.8078 1
O1 O 0.1165 0.3949 0.1000 1
O2 O 0.1590 0.2165 0.6763 1
O3 O 0.1784 0.0216 0.1882 1
```

=====

Ba5Cd2Ga after structural relaxation, computed with GGA-PBE.

Summary:
Volume, A^3/atom: 42.2
ΔH_f (0 K), meV/atom: -225

Cell and atoms, written as CIF:
```
data_Ba5Cd2Ga
_cell_length_a 7.6696
_cell_length_b 14.8022
_cell_length_c 5.9513
_cell_angle_alpha 90.00
_cell_angle_beta 90.00
_cell_angle_gamma 90.00
_space_group_name_H-M_alt 'P b a m'
_space_group_IT_number 55
loop_
_space_group_symop_operation_xyz
'x,y,z'
'-x,-y,-z'
'-x,-y,z'
'x,y,-z'
'x+1/2,-y+1/2,-z'
'-x+1/2,y+1/2,z'
'-x+1/2,y+1/2,-z'
'x+1/2,-y+1/2,z'
loop_
_atom_site_label
_atom_site_type_symbol
_atom_site_fract_x
_atom_site_fract_y
_atom_site_fract_z
_atom_site_occupancy
Ba1 Ba 0.0000 0.0000 0.0000 1
Ba2 Ba 0.1471 0.2870 0.0000 1
Ba3 Ba 0.1607 0.6005 0.5000 1
Cd1 Cd 0.1284 0.8618 0.5000 1
Ga1 Ga 0.0000 0.5000 0.0000 1
```

=====

Tl4HgBr2Cl after structural relaxation, computed with GGA-PBE.

Summary:
ΔE_f (raw), eV per atom: -0.5911
Volume, A^3/atom: 35.4

Cell and atoms, written as CIF:
```
data_Tl4HgBr2Cl
_cell_length_a 8.1672
_cell_length_b 4.2969
_cell_length_c 8.3471
_cell_angle_alpha 90.00
_cell_angle_beta 105.01
_cell_angle_gamma 90.00
_space_group_name_H-M_alt 'P 1 2/m 1'
_space_group_IT_number 10
loop_
_space_group_symop_operation_xyz
'x,y,z'
'-x,-y,-z'
'-x,y,-z'
'x,-y,z'
loop_
_atom_site_label
_atom_site_type_symbol
_atom_site_fract_x
_atom_site_fract_y
_atom_site_fract_z
_atom_site_occupancy
Tl1 Tl 0.2404 0.0000 0.2500 1
Tl2 Tl 0.2440 0.5000 0.7390 1
Hg1 Hg 0.0000 0.5000 0.0000 1
Br1 Br 0.5000 0.0000 0.0000 1
Br2 Br 0.5000 0.5000 0.5000 1
Cl1 Cl 0.0000 0.0000 0.5000 1
```

=====

Ta3NbSn after structural relaxation, computed with GGA-PBE.

Summary:
Volume, A^3/atom: 24.3
ΔH_f (0 K), meV/atom: 1989
Relative energy among the computed polymorphs, meV/atom: 1979

Cell and atoms, written as CIF:
```
data_Ta3NbSn
_cell_length_a 4.9539
_cell_length_b 4.9539
_cell_length_c 4.9539
_cell_angle_alpha 90.00
_cell_angle_beta 90.00
_cell_angle_gamma 90.00
_space_group_name_H-M_alt 'P m -3 m'
_space_group_IT_number 221
_space_group_name_Hall '-P 4 2 3'
loop_
_atom_site_label
_atom_site_type_symbol
_atom_site_fract_x
_atom_site_fract_y
_atom_site_fract_z
_atom_site_occupancy
Ta1 Ta 0.0000 0.0000 0.5000 1
Nb1 Nb 0.5000 0.5000 0.5000 1
Sn1 Sn 0.0000 0.0000 0.0000 1
```

=====

NaPbAu6 after structural relaxation, computed with GGA-PBE.

Summary:
Volume, A^3/atom: 20.4
ΔH_f (0 K), meV/atom: -19

Cell and atoms, written as CIF:
```
data_NaPbAu6
_cell_length_a 5.4658
_cell_length_b 5.4658
_cell_length_c 5.4658
_cell_angle_alpha 90.00
_cell_angle_beta 90.00
_cell_angle_gamma 90.00
_space_group_name_H-M_alt 'P m -3'
_space_group_IT_number 200
_space_group_name_Hall '-P 2 2 3'
loop_
_atom_site_label
_atom_site_type_symbol
_atom_site_fract_x
_atom_site_fract_y
_atom_site_fract_z
_atom_site_occupancy
Na1 Na 0.0000 0.0000 0.0000 1
Pb1 Pb 0.5000 0.5000 0.5000 1
Au1 Au 0.0000 0.2473 0.5000 1
```

=====

Y2GeTe2 after structural relaxation, computed with GGA-PBE.

Summary:
ΔE_f (raw), eV per atom: -0.7438
Volume, A^3/atom: 27.6
Relative energy among the computed polymorphs, meV/atom: 165

Cell and atoms, written as CIF:
```
data_Y2GeTe2
_cell_length_a 8.4348
_cell_length_b 8.4348
_cell_length_c 3.8799
_cell_angle_alpha 90.00
_cell_angle_beta 90.00
_cell_angle_gamma 90.00
_space_group_name_H-M_alt 'P 4/m b m'
_space_group_IT_number 127
_space_group_name_Hall '-P 4 2ab'
loop_
_atom_site_label
_atom_site_type_symbol
_atom_site_fract_x
_atom_site_fract_y
_atom_site_fract_z
_atom_site_occupancy
Y1 Y 0.1550 0.3450 0.0000 1
Ge1 Ge 0.0000 0.0000 0.5000 1
Te1 Te 0.1447 0.6447 0.5000 1
```

=====

SrGe2Cl after structural relaxation, computed with GGA-PBE.

Summary:
ΔE_f (raw), eV per atom: 0.0635
Volume, A^3/atom: 25.9
Relative energy among the computed polymorphs, meV/atom: 420

Cell and atoms, written as CIF:
```
data_SrGe2Cl
_cell_length_a 7.4528
_cell_length_b 7.4528
_cell_length_c 7.4528
_cell_angle_alpha 90.00
_cell_angle_beta 90.00
_cell_angle_gamma 90.00
_space_group_name_H-M_alt 'F m -3 m'
_space_group_IT_number 225
_space_group_name_Hall '-F 4 2 3'
loop_
_atom_site_label
_atom_site_type_symbol
_atom_site_fract_x
_atom_site_fract_y
_atom_site_fract_z
_atom_site_occupancy
Sr1 Sr 0.0000 0.0000 0.0000 1
Ge1 Ge 0.2500 0.2500 0.2500 1
Cl1 Cl 0.0000 0.0000 0.5000 1
```

=====

TiZnGa3 after structural relaxation, computed with GGA-PBE.

Summary:
Volume, A^3/atom: 25.3
ΔH_f (0 K), meV/atom: 578
Relative energy among the computed polymorphs, meV/atom: 767

Cell and atoms, written as CIF:
```
data_TiZnGa3
_cell_length_a 5.0232
_cell_length_b 5.0232
_cell_length_c 5.0232
_cell_angle_alpha 90.00
_cell_angle_beta 90.00
_cell_angle_gamma 90.00
_space_group_name_H-M_alt 'P m -3 m'
_space_group_IT_number 221
_space_group_name_Hall '-P 4 2 3'
loop_
_atom_site_label
_atom_site_type_symbol
_atom_site_fract_x
_atom_site_fract_y
_atom_site_fract_z
_atom_site_occupancy
Ti1 Ti 0.0000 0.0000 0.0000 1
Zn1 Zn 0.5000 0.5000 0.5000 1
Ga1 Ga 0.0000 0.0000 0.5000 1
```

=====

CeTm2Hg8 after structural relaxation, computed with GGA-PBE.

Summary:
Volume, A^3/atom: 25.3
ΔH_f (0 K), meV/atom: -259

Cell and atoms, written as CIF:
```
data_CeTm2Hg8
_cell_length_a 5.1020
_cell_length_b 7.5457
_cell_length_c 14.4329
_cell_angle_alpha 90.00
_cell_angle_beta 90.00
_cell_angle_gamma 90.00
_space_group_name_H-M_alt 'I m m m'
_space_group_IT_number 71
_space_group_name_Hall '-I 2 2'
loop_
_atom_site_label
_atom_site_type_symbol
_atom_site_fract_x
_atom_site_fract_y
_atom_site_fract_z
_atom_site_occupancy
Ce1 Ce 0.0000 0.0000 0.0000 1
Tm1 Tm 0.0000 0.0000 0.3061 1
Hg1 Hg 0.0000 0.2019 0.5000 1
Hg2 Hg 0.0000 0.2915 0.1523 1
Hg3 Hg 0.0000 0.5000 0.3450 1
```

=====

Nd2LuSb after structural relaxation, computed with GGA-PBE.

Summary:
ΔE_f (raw), eV per atom: -0.2955
Volume, A^3/atom: 34.2
Relative energy among the computed polymorphs, meV/atom: 216

Cell and atoms, written as CIF:
```
data_Nd2LuSb
_cell_length_a 4.1384
_cell_length_b 4.1384
_cell_length_c 27.6809
_cell_angle_alpha 90.00
_cell_angle_beta 90.00
_cell_angle_gamma 120.00
_space_group_name_H-M_alt 'R -3 m'
_space_group_IT_number 166
_space_group_name_Hall '-R 3 2"'
loop_
_atom_site_label
_atom_site_type_symbol
_atom_site_fract_x
_atom_site_fract_y
_atom_site_fract_z
_atom_site_occupancy
Nd1 Nd 0.0000 0.0000 0.2380 1
Lu1 Lu 0.0000 0.0000 0.0000 1
Sb1 Sb 0.0000 0.0000 0.5000 1
```

=====

TiZnGaOs after structural relaxation, computed with GGA-PBE.

Summary:
Volume, A^3/atom: 14.7
ΔH_f (0 K), meV/atom: -212

Cell and atoms, written as CIF:
```
data_TiZnGaOs
_cell_length_a 6.1751
_cell_length_b 6.1751
_cell_length_c 6.1751
_cell_angle_alpha 90.00
_cell_angle_beta 90.00
_cell_angle_gamma 90.00
_space_group_name_H-M_alt 'F -4 3 m'
_space_group_IT_number 216
_space_group_name_Hall 'F -4 2 3'
loop_
_atom_site_label
_atom_site_type_symbol
_atom_site_fract_x
_atom_site_fract_y
_atom_site_fract_z
_atom_site_occupancy
Ti1 Ti 0.0000 0.0000 0.0000 1
Zn1 Zn 0.2500 0.2500 0.7500 1
Ga1 Ga 0.0000 0.0000 0.5000 1
Os1 Os 0.2500 0.2500 0.2500 1
```

=====

LaBe2Tc after structural relaxation, computed with GGA-PBE.

Summary:
Volume, A^3/atom: 16.9
ΔH_f (0 K), meV/atom: 326
Relative energy among the computed polymorphs, meV/atom: 337

Cell and atoms, written as CIF:
```
data_LaBe2Tc
_cell_length_a 3.2214
_cell_length_b 3.2214
_cell_length_c 6.5015
_cell_angle_alpha 90.00
_cell_angle_beta 90.00
_cell_angle_gamma 90.00
_space_group_name_H-M_alt 'P 4 m m'
_space_group_IT_number 99
loop_
_space_group_symop_operation_xyz
'x,y,z'
'-y,x,z'
'-x,-y,z'
'y,-x,z'
'-x,y,z'
'y,x,z'
'x,-y,z'
'-y,-x,z'
loop_
_atom_site_label
_atom_site_type_symbol
_atom_site_fract_x
_atom_site_fract_y
_atom_site_fract_z
_atom_site_occupancy
La1 La 0.0000 0.0000 0.0000 1
Be1 Be 0.0000 0.0000 0.4563 1
Be2 Be 0.5000 0.5000 0.6492 1
Tc1 Tc 0.5000 0.5000 0.3221 1
```

=====

NaCrAs2Se after structural relaxation, computed with GGA-PBE.

Summary:
ΔE_f (raw), eV per atom: -0.0178
Volume, A^3/atom: 23.0
Relative energy among the computed polymorphs, meV/atom: 0

Cell and atoms, written as CIF:
```
data_NaCrAs2Se
_cell_length_a 4.6330
_cell_length_b 4.6330
_cell_length_c 5.3476
_cell_angle_alpha 90.00
_cell_angle_beta 90.00
_cell_angle_gamma 90.00
_space_group_name_H-M_alt 'P 4/m m m'
_space_group_IT_number 123
_space_group_name_Hall '-P 4 2'
loop_
_atom_site_label
_atom_site_type_symbol
_atom_site_fract_x
_atom_site_fract_y
_atom_site_fract_z
_atom_site_occupancy
Na1 Na 0.0000 0.0000 0.0000 1
Cr1 Cr 0.5000 0.5000 0.5000 1
As1 As 0.0000 0.5000 0.5000 1
Se1 Se 0.5000 0.5000 0.0000 1
```

=====

LiTmPu2S4 after structural relaxation, computed with GGA-PBE.

Summary:
ΔE_f (raw), eV per atom: -1.7185
Volume, A^3/atom: 21.0

Cell and atoms, written as CIF:
```
data_LiTmPu2S4
_cell_length_a 6.7195
_cell_length_b 3.9161
_cell_length_c 6.7918
_cell_angle_alpha 90.00
_cell_angle_beta 110.04
_cell_angle_gamma 90.00
_space_group_name_H-M_alt 'P 1 2/m 1'
_space_group_IT_number 10
loop_
_space_group_symop_operation_xyz
'x,y,z'
'-x,-y,-z'
'-x,y,-z'
'x,-y,z'
loop_
_atom_site_label
_atom_site_type_symbol
_atom_site_fract_x
_atom_site_fract_y
_atom_site_fract_z
_atom_site_occupancy
Li1 Li 0.0000 0.0000 0.0000 1
Tm1 Tm 0.0000 0.5000 0.5000 1
Pu1 Pu 0.5000 0.0000 0.5000 1
Pu2 Pu 0.5000 0.5000 0.0000 1
S1 S 0.2391 0.5000 0.2485 1
S2 S 0.2397 0.0000 0.7493 1
```

=====

YBPt3 after structural relaxation, computed with GGA-PBE.

Summary:
Volume, A^3/atom: 16.4
ΔH_f (0 K), meV/atom: -751
Relative energy among the computed polymorphs, meV/atom: 111

Cell and atoms, written as CIF:
```
data_YBPt3
_cell_length_a 4.3427
_cell_length_b 4.3427
_cell_length_c 4.3427
_cell_angle_alpha 90.00
_cell_angle_beta 90.00
_cell_angle_gamma 90.00
_space_group_name_H-M_alt 'P m -3 m'
_space_group_IT_number 221
_space_group_name_Hall '-P 4 2 3'
loop_
_atom_site_label
_atom_site_type_symbol
_atom_site_fract_x
_atom_site_fract_y
_atom_site_fract_z
_atom_site_occupancy
Y1 Y 0.0000 0.0000 0.0000 1
B1 B 0.5000 0.5000 0.5000 1
Pt1 Pt 0.0000 0.5000 0.5000 1
```

=====

PuFeSiRu after structural relaxation, computed with GGA-PBE.

Summary:
ΔE_f (raw), eV per atom: -0.2339
Volume, A^3/atom: 15.4

Cell and atoms, written as CIF:
```
data_PuFeSiRu
_cell_length_a 6.2670
_cell_length_b 6.2670
_cell_length_c 6.2670
_cell_angle_alpha 90.00
_cell_angle_beta 90.00
_cell_angle_gamma 90.00
_space_group_name_H-M_alt 'F -4 3 m'
_space_group_IT_number 216
_space_group_name_Hall 'F -4 2 3'
loop_
_atom_site_label
_atom_site_type_symbol
_atom_site_fract_x
_atom_site_fract_y
_atom_site_fract_z
_atom_site_occupancy
Pu1 Pu 0.0000 0.0000 0.0000 1
Fe1 Fe 0.2500 0.2500 0.7500 1
Si1 Si 0.0000 0.0000 0.5000 1
Ru1 Ru 0.2500 0.2500 0.2500 1
```

=====

TiMnVN after structural relaxation, computed with GGA-PBE.

Summary:
ΔE_f (raw), eV per atom: -0.3457
Volume, A^3/atom: 12.1
Relative energy among the computed polymorphs, meV/atom: 580

Cell and atoms, written as CIF:
```
data_TiMnVN
_cell_length_a 2.7463
_cell_length_b 2.6803
_cell_length_c 13.1086
_cell_angle_alpha 90.00
_cell_angle_beta 90.00
_cell_angle_gamma 90.00
_space_group_name_H-M_alt 'A m m 2'
_space_group_IT_number 38
loop_
_space_group_symop_operation_xyz
'x,y,z'
'-x,-y,z'
'-x,y,z'
'x,-y,z'
'x,y+1/2,z+1/2'
'-x,-y+1/2,z+1/2'
'-x,y+1/2,z+1/2'
'x,-y+1/2,z+1/2'
loop_
_atom_site_label
_atom_site_type_symbol
_atom_site_fract_x
_atom_site_fract_y
_atom_site_fract_z
_atom_site_occupancy
Ti1 Ti 0.0000 0.0000 0.0000 1
Mn1 Mn 0.5000 0.0000 0.3551 1
V1 V 0.5000 0.0000 0.1844 1
N1 N 0.0000 0.0000 0.6268 1
```

=====

TlCu2F after structural relaxation, computed with GGA-PBE.

Summary:
ΔE_f (raw), eV per atom: -0.2879
Volume, A^3/atom: 15.6
Relative energy among the computed polymorphs, meV/atom: 0

Cell and atoms, written as CIF:
```
data_TlCu2F
_cell_length_a 6.8236
_cell_length_b 6.8236
_cell_length_c 5.3591
_cell_angle_alpha 90.00
_cell_angle_beta 90.00
_cell_angle_gamma 90.00
_space_group_name_H-M_alt 'I -4 2 d'
_space_group_IT_number 122
_space_group_name_Hall 'I -4 2bw'
loop_
_atom_site_label
_atom_site_type_symbol
_atom_site_fract_x
_atom_site_fract_y
_atom_site_fract_z
_atom_site_occupancy
Tl1 Tl 0.0000 0.0000 0.0000 1
Cu1 Cu 0.1989 0.2500 0.6250 1
F1 F 0.0000 0.0000 0.5000 1
```

=====

MnPdBr3 after structural relaxation, computed with GGA-PBE.

Summary:
ΔE_f (raw), eV per atom: 0.0346
Volume, A^3/atom: 27.2
Relative energy among the computed polymorphs, meV/atom: 0

Cell and atoms, written as CIF:
```
data_MnPdBr3
_cell_length_a 5.1411
_cell_length_b 5.1411
_cell_length_c 5.1411
_cell_angle_alpha 90.00
_cell_angle_beta 90.00
_cell_angle_gamma 90.00
_space_group_name_H-M_alt 'P m -3 m'
_space_group_IT_number 221
_space_group_name_Hall '-P 4 2 3'
loop_
_atom_site_label
_atom_site_type_symbol
_atom_site_fract_x
_atom_site_fract_y
_atom_site_fract_z
_atom_site_occupancy
Mn1 Mn 0.0000 0.0000 0.0000 1
Pd1 Pd 0.5000 0.5000 0.5000 1
Br1 Br 0.0000 0.0000 0.5000 1
```